Zr2ScMoC | GGA-PBE | relaxed

abc: 4.6926 4.6926 4.1372
angles: 90.00 90.00 90.00
Closest atoms and distances in Å follow each position.
Space group P4/mmm (No. 123)
Inequivalent atoms, fractional coordinates:
1 Zr 0.0000 0.5000 0.0000 (multiplicity 2)  2 C 2.35
2 Sc 0.0000 0.0000 0.5000 (multiplicity 1)  8 Zr 3.13, 4 Mo 3.32
3 Mo 0.5000 0.5000 0.5000 (multiplicity 1)  2 C 2.07
4 C 0.5000 0.5000 0.0000 (multiplicity 1)  2 Mo 2.07

V = 91.1 Å³ per cell
M_tot = 0.0 μB/cell
crystal system = tetragonal
energy of formation from the pure elements = -18.11 kJ per mole of atoms
polymorph energy (0 for the lowest one) = 0 meV/atom
electronic total energy = -8.88 eV/atom